Record 1
BaLiBi2S4 PBE optimized geometry; formation energy without anion corrections = -919.5 meV/atom; density of states at the Fermi level = 0.84 states/eV/f.u.; calculated total energy = -4.4330 eV/atom
1.0
2.225 -6.619 0.000
2.225 6.619 0.000
0.000 0.000 13.892
Ba Li Bi S
2 2 4 8
direct
0.122 0.878 0.750 Ba
0.878 0.122 0.250 Ba
0.145 0.855 0.250 Li
0.855 0.145 0.750 Li
0.374 0.626 0.552 Bi
0.374 0.626 0.948 Bi
0.626 0.374 0.052 Bi
0.626 0.374 0.448 Bi
0.000 0.000 0.000 S
0.000 0.000 0.500 S
0.264 0.736 0.116 S
0.264 0.736 0.384 S
0.444 0.556 0.750 S
0.556 0.444 0.250 S
0.736 0.264 0.616 S
0.736 0.264 0.884 S

Record 2
Ba2LiBiS PBE optimized geometry; formation energy without anion corrections = -1287.5 meV/atom; E above lowest polymorph = 0.0 meV/atom; calculated total energy = -4.0410 eV/atom
1.0
7.879 0.000 0.000
0.000 4.843 0.000
-2.624 0.000 9.073
Ba Li Bi S
4 2 2 2
direct
0.183 0.250 0.395 Ba
0.239 0.250 0.964 Ba
0.761 0.750 0.036 Ba
0.817 0.750 0.605 Ba
0.469 0.750 0.277 Li
0.531 0.250 0.723 Li
0.334 0.750 0.697 Bi
0.666 0.250 0.303 Bi
0.164 0.750 0.169 S
0.836 0.250 0.831 S

Record 3
Ba2LiBiS PBE optimized geometry; formation energy without anion corrections = -1201.5 meV/atom; density of states at the Fermi level = 0.49 states/eV/f.u.; E above lowest polymorph = 86.0 meV/atom; calculated total energy = -3.9551 eV/atom
1.0
6.136 0.000 0.000
0.000 6.136 0.000
0.000 0.000 4.760
Ba Li Bi S
2 1 1 1
direct
0.000 0.500 0.000 Ba
0.500 0.000 0.000 Ba
0.000 0.000 0.500 Li
0.500 0.500 0.500 Bi
0.000 0.000 0.000 S

Record 4
BaLiBi2Se4 PBE optimized geometry; formation energy without anion corrections = -904.0 meV/atom; density of states at the Fermi level = 0.92 states/eV/f.u.; calculated total energy = -4.0961 eV/atom
1.0
2.307 -6.910 0.000
2.307 6.910 0.000
0.000 0.000 14.449
Ba Li Bi Se
2 2 4 8
direct
0.124 0.876 0.750 Ba
0.876 0.124 0.250 Ba
0.140 0.860 0.250 Li
0.860 0.140 0.750 Li
0.373 0.627 0.553 Bi
0.373 0.627 0.947 Bi
0.627 0.373 0.053 Bi
0.627 0.373 0.447 Bi
0.000 0.000 0.000 Se
0.000 0.000 0.500 Se
0.264 0.736 0.116 Se
0.264 0.736 0.384 Se
0.448 0.552 0.750 Se
0.552 0.448 0.250 Se
0.736 0.264 0.616 Se
0.736 0.264 0.884 Se

Record 5
BaLiBiSe3 PBE optimized geometry; formation energy without anion corrections = -1166.0 meV/atom; calculated total energy = -4.1945 eV/atom
1.0
9.021 0.000 0.000
0.000 4.332 0.000
-2.409 0.000 9.061
Ba Li Bi Se
2 2 2 6
direct
0.195 0.250 0.246 Ba
0.805 0.750 0.754 Ba
0.088 0.250 0.593 Li
0.912 0.750 0.407 Li
0.327 0.750 0.842 Bi
0.673 0.250 0.158 Bi
0.109 0.250 0.873 Se
0.204 0.750 0.518 Se
0.447 0.750 0.170 Se
0.553 0.250 0.830 Se
0.796 0.250 0.482 Se
0.891 0.750 0.127 Se

Record 6
Ba2LiBiSe4 PBE optimized geometry; formation energy without anion corrections = -1306.3 meV/atom; calculated total energy = -4.2536 eV/atom
1.0
-4.386 4.533 6.224
4.386 -4.533 6.224
4.386 4.533 -6.224
Ba Li Bi Se
4 2 2 8
direct
0.000 0.000 0.000 Ba
0.500 0.000 0.000 Ba
0.500 0.000 0.500 Ba
0.500 0.500 0.500 Ba
0.000 0.500 0.500 Li
0.500 0.500 0.000 Li
0.000 0.000 0.500 Bi
0.000 0.500 0.000 Bi
0.216 0.737 0.479 Se
0.240 0.258 0.518 Se
0.240 0.722 0.982 Se
0.242 0.263 0.979 Se
0.758 0.737 0.021 Se
0.760 0.278 0.018 Se
0.760 0.742 0.482 Se
0.784 0.263 0.521 Se

Record 7
Ba2Li3SmBi4 PBE optimized geometry; density of states at the Fermi level = 4.01 states/eV/f.u.; E_form = -0.7219 eV per atom; calculated total energy = -3.7049 eV/atom
1.0
5.076 0.000 0.000
0.000 5.076 0.000
0.000 0.000 12.307
Ba Li Sm Bi
2 3 1 4
direct
0.000 0.500 0.221 Ba
0.500 0.000 0.779 Ba
0.000 0.500 0.883 Li
0.500 0.000 0.117 Li
0.500 0.500 0.500 Li
0.000 0.000 0.500 Sm
0.000 0.000 0.000 Bi
0.000 0.500 0.649 Bi
0.500 0.000 0.351 Bi
0.500 0.500 0.000 Bi

Record 8
Ba2Li4SnBi3 PBE optimized geometry; density of states at the Fermi level = 3.67 states/eV/f.u.; E_form = -0.6581 eV per atom; calculated total energy = -3.3727 eV/atom
1.0
4.812 0.000 0.000
0.000 4.812 0.000
0.000 0.000 12.256
Ba Li Sn Bi
2 4 1 3
direct
0.000 0.500 0.239 Ba
0.500 0.000 0.761 Ba
0.000 0.000 0.000 Li
0.000 0.500 0.639 Li
0.500 0.000 0.361 Li
0.500 0.500 0.000 Li
0.000 0.000 0.500 Sn
0.000 0.500 0.868 Bi
0.500 0.000 0.132 Bi
0.500 0.500 0.500 Bi

These records have calculated volume values of 25.58; 34.62; 35.84; 28.79; 29.51; 30.94; 31.71; 28.38 A^3/atom, in the order they appear.